# 1
Compound: Cs2NaCdPt
Source: the Alexandria database
Functional: PBE
Structure: relaxed

## Properties
Its excess energy over the best structure of this formula in the dataset is 561 meV/atom. As for the total energy: -1.45 eV per atom.

Unit cell a=6.635 b=6.635 c=5.507 alpha=90.00 beta=90.00 gamma=90.00
Atoms (fractional coordinates):
Cs  0.000  0.500  0.000
Cs  0.500  0.000  0.000
Na  0.000  0.000  0.000
Cd  0.000  0.000  0.500
Pt  0.500  0.500  0.500

=====

# 2
Compound: Cs2NaCdPt
Source: the Alexandria database
Functional: PBE
Structure: relaxed

## Properties
Its excess energy over the best structure of this formula in the dataset is 101 meV/atom. As for the total energy: -1.91 eV per atom.

Unit cell a=6.704 b=6.704 c=5.585 alpha=90.00 beta=90.00 gamma=90.00
Atoms (fractional coordinates):
Cs  0.000  0.500  0.000
Cs  0.500  0.000  0.000
Na  0.000  0.000  0.500
Cd  0.500  0.500  0.500
Pt  0.000  0.000  0.000

=====

# 3
Compound: Cs2RbNaCd
Source: the Alexandria database
Functional: PBE
Structure: relaxed

## Properties
Its excess energy over the best structure of this formula in the dataset is 48 meV/atom. As for the total energy: -0.89 eV per atom.

Unit cell a=7.476 b=7.476 c=7.193 alpha=90.00 beta=90.00 gamma=90.00
Atoms (fractional coordinates):
Cs  0.000  0.500  0.000
Cs  0.500  0.000  0.000
Rb  0.000  0.000  0.500
Na  0.500  0.500  0.500
Cd  0.000  0.000  0.000

=====

# 4
Compound: CsRbNaCd2
Source: the Alexandria database
Functional: PBE
Structure: relaxed

## Properties
As for the total energy: -0.86 eV per atom.

Unit cell a=6.209 b=6.209 c=6.577 alpha=90.00 beta=90.00 gamma=90.00
Atoms (fractional coordinates):
Cs  0.000  0.000  0.000
Rb  0.500  0.500  0.000
Na  0.500  0.500  0.500
Cd  0.000  0.500  0.500
Cd  0.500  0.000  0.500

=====

| no. | calculated formation energy (eV per atom) |
| --- | --- |
| 1 | 0.548 |
| 2 | 0.087 |
| 3 | 0.090 |
| 4 | 0.133 |